[1]
VASP calculation (PBE-GGA) on crystalline Mn3SiSe at its relaxed geometry.

Cell and atoms, written as POSCAR:
```
Mn3SiSe
1.0
4.484 0.000 0.000
0.000 4.484 0.000
0.000 0.000 4.484
Si Mn Se
1 3 1
Direct
0.000 0.000 0.000
0.000 0.500 0.000
0.000 0.000 0.500
0.500 0.000 0.000
0.500 0.500 0.500
```

Output
Raw formation energy ... 0.58 eV per atom
SG ... Pm-3m


[2]
VASP calculation (PBE-GGA) on crystalline AcHgH2 at its relaxed geometry.

Cell and atoms, written as POSCAR:
```
AcHgH2
1.0
4.249 0.000 0.000
2.125 3.680 0.000
2.125 1.227 5.037
H Ac Hg
2 1 1
Direct
0.176 0.176 0.472
0.824 0.824 0.528
0.500 0.500 0.500
0.000 0.000 0.000
```

Output
Energy ... -12.64 eV per cell
SG ... R-3m


Number 1: volume 90.18 Å³/cell, ρ 5006 kg/m3. Number 2: volume 78.77 Å³/cell, ρ 9056 kg/m3.